Record 1
Here is a relaxed KIn6Pb6 crystal from Alexandria via LeMat-Bulk. Energies are from PBE.

The structure belongs to space group Immm (No. 71); the cell edges are 6.295, 11.215 and 11.477 Å and the angles 90.00°, 90.00° and 90.00°. The asymmetric unit holds K at (0.000, 0.000, 0.000), In at (0.000, 0.500, 0.281), In at (0.250, 0.250, 0.250), Pb at (0.000, 0.000, 0.356), Pb at (0.000, 0.291, 0.500) and Pb at (0.000, 0.355, 0.000).

Its electronic total energy is -3.07 eV/atom.

Record 2
Here is a relaxed KIn2Pb crystal from Alexandria via LeMat-Bulk. Energies are from PBE.

The structure belongs to space group Cmcm (No. 63); the cell edges are 5.184, 12.508 and 8.146 Å and the angles 90.00°, 90.00° and 90.00°. The asymmetric unit holds K at (0.000, 0.078, 0.250), In at (0.000, 0.378, 0.055) and Pb at (0.000, 0.213, 0.750).

Its electronic total energy is -2.68 eV/atom.

Record 3
Here is a relaxed K2InPb crystal from Alexandria via LeMat-Bulk. Energies are from PBE.

The structure belongs to space group I4/mmm (No. 139); the cell edges are 5.033, 5.033 and 11.350 Å and the angles 90.00°, 90.00° and 90.00°. The asymmetric unit holds K at (0.000, 0.500, 0.250), In at (0.000, 0.000, 0.000) and Pb at (0.000, 0.000, 0.500).

As for the relative energy among the computed polymorphs: 0.1471 eV per atom.

Record 4
Here is a relaxed KIn8Pb2 crystal from Alexandria via LeMat-Bulk. Energies are from PBE.

The structure belongs to space group P4/mmm (No. 123); the cell edges are 5.785, 5.785 and 10.922 Å and the angles 90.00°, 90.00° and 90.00°. The asymmetric unit holds K at (0.000, 0.000, 0.000), In at (0.000, 0.500, 0.205), In at (0.000, 0.500, 0.500), In at (0.500, 0.500, 0.350) and Pb at (0.000, 0.000, 0.348).

Its electronic total energy is -2.70 eV/atom.

Record 5
Here is a relaxed KIn6Pb2 crystal from Alexandria via LeMat-Bulk. Energies are from PBE.

The structure belongs to space group P4/mmm (No. 123); the cell edges are 5.152, 5.152 and 10.861 Å and the angles 90.00°, 90.00° and 90.00°. The asymmetric unit holds K at (0.000, 0.000, 0.000), In at (0.000, 0.000, 0.500), In at (0.000, 0.500, 0.314), In at (0.500, 0.500, 0.500) and Pb at (0.500, 0.500, 0.143).

Its electronic total energy is -2.78 eV/atom.

Record 6
Here is a relaxed K2In4Pb5 crystal from Alexandria via LeMat-Bulk. Energies are from PBE.

The structure belongs to space group Fmmm (No. 69); the cell edges are 7.048, 11.784 and 18.931 Å and the angles 90.00°, 90.00° and 90.00°. The asymmetric unit holds K at (0.000, 0.000, 0.128), In at (0.000, 0.137, 0.361), Pb at (0.000, 0.000, 0.500), Pb at (0.250, 0.250, 0.000) and Pb at (0.250, 0.250, 0.250).

Its electronic total energy is -2.91 eV/atom.

Record 7
Here is a relaxed KIn2Pb crystal from Alexandria via LeMat-Bulk. Energies are from PBE.

The structure belongs to space group I-4m2 (No. 119); the cell edges are 5.558, 5.558 and 7.990 Å and the angles 90.00°, 90.00° and 90.00°. The asymmetric unit holds K at (0.000, 0.000, 0.000), In at (0.000, 0.000, 0.500), In at (0.000, 0.500, 0.250) and Pb at (0.000, 0.500, 0.750).

Its electronic total energy is -2.59 eV/atom.

Record 8
Here is a relaxed K2In15Pb2 crystal from Alexandria via LeMat-Bulk. Energies are from PBE.

The structure belongs to space group R-3m (No. 166, hexagonal axes); the cell edges are 11.0212, 11.0212 and 16.3217 Å and the angles 90.00°, 90.00° and 120.00°. The asymmetric unit holds K at (0.0000, 0.0000, 0.1580), In at (0.0000, 0.2978, 0.5000), In at (0.0000, 0.5000, 0.0000), In at (0.0098, 0.5049, 0.6459) and Pb at (0.0000, 0.0000, 0.3977).

Its electronic total energy is -2.70 eV/atom.